Record 1
# LiZrCl4, relaxed, DFT PBE
# E above lowest polymorph: 1874 meV per atom
# E_form (uncorrected): 0.14 eV per atom
# Energy: -2.8308 eV/atom
data_LiZrCl4
_chemical_formula_sum 'Li4 Zr4 Cl16'
_space_group_name_H-M_alt 'F -4 3 m'
_space_group_IT_number 216
_space_group_name_Hall 'F -4 2 3'
_cell_length_a 8.276
_cell_length_b 8.276
_cell_length_c 8.276
_cell_angle_alpha 90.00
_cell_angle_beta 90.00
_cell_angle_gamma 90.00
loop_
_atom_site_label
_atom_site_type_symbol
_atom_site_fract_x
_atom_site_fract_y
_atom_site_fract_z
_atom_site_occupancy
Li1 Li 0.000 0.000 0.000 1
Zr1 Zr 0.250 0.250 0.750 1
Cl1 Cl 0.125 0.125 0.375 1

=====

Record 2
# LiZrCl2, relaxed, DFT PBE
# E above lowest polymorph: 375 meV per atom
# E_form (uncorrected): -0.78 eV per atom
# Energy: -4.3222 eV/atom
data_LiZrCl2
_chemical_formula_sum 'Li4 Zr4 Cl8'
_space_group_name_H-M_alt 'I -4 2 d'
_space_group_IT_number 122
_space_group_name_Hall 'I -4 2bw'
_cell_length_a 6.011
_cell_length_b 6.011
_cell_length_c 9.800
_cell_angle_alpha 90.00
_cell_angle_beta 90.00
_cell_angle_gamma 90.00
loop_
_atom_site_label
_atom_site_type_symbol
_atom_site_fract_x
_atom_site_fract_y
_atom_site_fract_z
_atom_site_occupancy
Li1 Li 0.000 0.000 0.000 1
Zr1 Zr 0.000 0.000 0.500 1
Cl1 Cl 0.207 0.250 0.125 1

=====

Record 3
# LiZrCl2, relaxed, DFT PBE
# E above lowest polymorph: 69 meV per atom
# E_form (uncorrected): -1.09 eV per atom
# Energy: -4.6283 eV/atom
data_LiZrCl2
_chemical_formula_sum 'Li1 Zr1 Cl2'
_space_group_name_H-M_alt 'P 1 2/m 1'
_space_group_IT_number 10
_space_group_name_Hall '-P 2y'
_cell_length_a 3.288
_cell_length_b 3.194
_cell_length_c 7.504
_cell_angle_alpha 90.00
_cell_angle_beta 99.18
_cell_angle_gamma 90.00
loop_
_atom_site_label
_atom_site_type_symbol
_atom_site_fract_x
_atom_site_fract_y
_atom_site_fract_z
_atom_site_occupancy
Li1 Li 0.000 0.000 0.000 1
Zr1 Zr 0.500 0.000 0.500 1
Cl1 Cl 0.407 0.500 0.209 1

=====

Record 4
# Li3ZrCl6, relaxed, DFT PBE
# E_form (uncorrected): -1.69 eV per atom
# Energy: -4.2221 eV/atom
data_Li3ZrCl6
_chemical_formula_sum 'Li6 Zr2 Cl12'
_space_group_name_H-M_alt 'P 1 21/c 1'
_space_group_IT_number 14
_space_group_name_Hall '-P 2ybc'
_cell_length_a 6.555
_cell_length_b 6.595
_cell_length_c 12.010
_cell_angle_alpha 90.00
_cell_angle_beta 122.69
_cell_angle_gamma 90.00
loop_
_atom_site_label
_atom_site_type_symbol
_atom_site_fract_x
_atom_site_fract_y
_atom_site_fract_z
_atom_site_occupancy
Li1 Li 0.000 0.000 0.000 1
Li2 Li 0.254 0.019 0.735 1
Zr1 Zr 0.500 0.000 0.500 1
Cl1 Cl 0.101 0.176 0.438 1
Cl2 Cl 0.253 0.674 0.413 1
Cl3 Cl 0.398 0.112 0.267 1

=====

Record 5
# LiZrCl4, relaxed, DFT PBE
# E above lowest polymorph: 0 meV per atom
# E_form (uncorrected): -1.73 eV per atom
# Energy: -4.7053 eV/atom
data_LiZrCl4
_chemical_formula_sum 'Li1 Zr1 Cl4'
_space_group_name_H-M_alt 'P 1 2/m 1'
_space_group_IT_number 10
_space_group_name_Hall '-P 2y'
_cell_length_a 6.651
_cell_length_b 3.462
_cell_length_c 6.797
_cell_angle_alpha 90.00
_cell_angle_beta 91.10
_cell_angle_gamma 90.00
loop_
_atom_site_label
_atom_site_type_symbol
_atom_site_fract_x
_atom_site_fract_y
_atom_site_fract_z
_atom_site_occupancy
Li1 Li 0.000 0.000 0.000 1
Zr1 Zr 0.500 0.500 0.000 1
Cl1 Cl 0.184 0.500 0.197 1
Cl2 Cl 0.330 0.000 0.765 1

=====

Record 6
# LiZrCl2, relaxed, DFT PBE
# E above lowest polymorph: 403 meV per atom
# E_form (uncorrected): -0.76 eV per atom
# Energy: -4.2942 eV/atom
data_LiZrCl2
_chemical_formula_sum 'Li1 Zr1 Cl2'
_space_group_name_H-M_alt 'P m m m'
_space_group_IT_number 47
_space_group_name_Hall '-P 2 2'
_cell_length_a 3.298
_cell_length_b 3.994
_cell_length_c 6.396
_cell_angle_alpha 90.00
_cell_angle_beta 90.00
_cell_angle_gamma 90.00
loop_
_atom_site_label
_atom_site_type_symbol
_atom_site_fract_x
_atom_site_fract_y
_atom_site_fract_z
_atom_site_occupancy
Li1 Li 0.000 0.000 0.000 1
Zr1 Zr 0.500 0.000 0.500 1
Cl1 Cl 0.000 0.500 0.500 1
Cl2 Cl 0.500 0.500 0.000 1

=====

Record 7
# LiZrCl3, relaxed, DFT PBE
# E above lowest polymorph: 0 meV per atom
# E_form (uncorrected): -1.15 eV per atom
# Energy: -4.3516 eV/atom
data_LiZrCl3
_chemical_formula_sum 'Li1 Zr1 Cl3'
_space_group_name_H-M_alt 'P m -3 m'
_space_group_IT_number 221
_space_group_name_Hall '-P 4 2 3'
_cell_length_a 5.097
_cell_length_b 5.097
_cell_length_c 5.097
_cell_angle_alpha 90.00
_cell_angle_beta 90.00
_cell_angle_gamma 90.00
loop_
_atom_site_label
_atom_site_type_symbol
_atom_site_fract_x
_atom_site_fract_y
_atom_site_fract_z
_atom_site_occupancy
Li1 Li 0.000 0.000 0.000 1
Zr1 Zr 0.500 0.500 0.500 1
Cl1 Cl 0.000 0.500 0.500 1

=====

Record 8
# LiZrCl2, relaxed, DFT PBE
# E above lowest polymorph: 209 meV per atom
# E_form (uncorrected): -0.95 eV per atom
# Energy: -4.4881 eV/atom
data_LiZrCl2
_chemical_formula_sum 'Li2 Zr2 Cl4'
_space_group_name_H-M_alt 'C 1 2/m 1'
_space_group_IT_number 12
_space_group_name_Hall '-C 2y'
_cell_length_a 8.321
_cell_length_b 3.254
_cell_length_c 6.130
_cell_angle_alpha 90.00
_cell_angle_beta 113.29
_cell_angle_gamma 90.00
loop_
_atom_site_label
_atom_site_type_symbol
_atom_site_fract_x
_atom_site_fract_y
_atom_site_fract_z
_atom_site_occupancy
Li1 Li 0.000 0.000 0.000 1
Zr1 Zr 0.000 0.500 0.500 1
Cl1 Cl 0.219 0.500 0.259 1

=====

Record 9
# LiZrCl2, relaxed, DFT PBE
# E above lowest polymorph: 305 meV per atom
# E_form (uncorrected): -0.85 eV per atom
# Energy: -4.3919 eV/atom
data_LiZrCl2
_chemical_formula_sum 'Li1 Zr1 Cl2'
_space_group_name_H-M_alt 'P 4/m m m'
_space_group_IT_number 123
_space_group_name_Hall '-P 4 2'
_cell_length_a 3.328
_cell_length_b 3.328
_cell_length_c 6.439
_cell_angle_alpha 90.00
_cell_angle_beta 90.00
_cell_angle_gamma 90.00
loop_
_atom_site_label
_atom_site_type_symbol
_atom_site_fract_x
_atom_site_fract_y
_atom_site_fract_z
_atom_site_occupancy
Li1 Li 0.000 0.000 0.000 1
Zr1 Zr 0.000 0.000 0.500 1
Cl1 Cl 0.500 0.500 0.261 1

=====

Record 10
# LiZrCl2, relaxed, DFT PBE
# E above lowest polymorph: 421 meV per atom
# E_form (uncorrected): -0.74 eV per atom
# Energy: -4.2759 eV/atom
data_LiZrCl2
_chemical_formula_sum 'Li2 Zr2 Cl4'
_space_group_name_H-M_alt 'I -4 m 2'
_space_group_IT_number 119
_space_group_name_Hall 'I -4 -2'
_cell_length_a 3.602
_cell_length_b 3.602
_cell_length_c 13.081
_cell_angle_alpha 90.00
_cell_angle_beta 90.00
_cell_angle_gamma 90.00
loop_
_atom_site_label
_atom_site_type_symbol
_atom_site_fract_x
_atom_site_fract_y
_atom_site_fract_z
_atom_site_occupancy
Li1 Li 0.000 0.000 0.000 1
Zr1 Zr 0.000 0.500 0.750 1
Cl1 Cl 0.000 0.000 0.500 1
Cl2 Cl 0.000 0.500 0.250 1

=====

Record 11
# LiZrCl5, relaxed, DFT PBE
# E_form (uncorrected): -1.75 eV per atom
# Energy: -4.5684 eV/atom
data_LiZrCl5
_chemical_formula_sum 'Li4 Zr4 Cl20'
_space_group_name_H-M_alt 'C 1 2/c 1'
_space_group_IT_number 15
_space_group_name_Hall '-C 2yc'
_cell_length_a 9.997
_cell_length_b 10.031
_cell_length_c 9.670
_cell_angle_alpha 90.00
_cell_angle_beta 119.78
_cell_angle_gamma 90.00
loop_
_atom_site_label
_atom_site_type_symbol
_atom_site_fract_x
_atom_site_fract_y
_atom_site_fract_z
_atom_site_occupancy
Li1 Li 0.000 0.127 0.250 1
Zr1 Zr 0.250 0.250 0.000 1
Cl1 Cl 0.000 0.324 0.750 1
Cl2 Cl 0.127 0.284 0.163 1
Cl3 Cl 0.174 0.014 0.963 1

=====

Record 12
# LiZrCl4, relaxed, DFT PBE
# E above lowest polymorph: 55 meV per atom
# E_form (uncorrected): -1.68 eV per atom
# Energy: -4.6506 eV/atom
data_LiZrCl4
_chemical_formula_sum 'Li4 Zr4 Cl16'
_space_group_name_H-M_alt 'C 1 2/c 1'
_space_group_IT_number 15
_space_group_name_Hall '-C 2yc'
_cell_length_a 7.952
_cell_length_b 16.212
_cell_length_c 6.126
_cell_angle_alpha 90.00
_cell_angle_beta 126.06
_cell_angle_gamma 90.00
loop_
_atom_site_label
_atom_site_type_symbol
_atom_site_fract_x
_atom_site_fract_y
_atom_site_fract_z
_atom_site_occupancy
Li1 Li 0.000 0.125 0.250 1
Zr1 Zr 0.000 0.444 0.750 1
Cl1 Cl 0.222 0.334 0.755 1
Cl2 Cl 0.247 0.444 0.279 1

=====

Copy entry 8 word for word.
# LiZrCl2, relaxed, DFT PBE
# E above lowest polymorph: 209 meV per atom
# E_form (uncorrected): -0.95 eV per atom
# Energy: -4.4881 eV/atom
data_LiZrCl2
_chemical_formula_sum 'Li2 Zr2 Cl4'
_space_group_name_H-M_alt 'C 1 2/m 1'
_space_group_IT_number 12
_space_group_name_Hall '-C 2y'
_cell_length_a 8.321
_cell_length_b 3.254
_cell_length_c 6.130
_cell_angle_alpha 90.00
_cell_angle_beta 113.29
_cell_angle_gamma 90.00
loop_
_atom_site_label
_atom_site_type_symbol
_atom_site_fract_x
_atom_site_fract_y
_atom_site_fract_z
_atom_site_occupancy
Li1 Li 0.000 0.000 0.000 1
Zr1 Zr 0.000 0.500 0.500 1
Cl1 Cl 0.219 0.500 0.259 1

=====

Copy entry 9 word for word.
# LiZrCl2, relaxed, DFT PBE
# E above lowest polymorph: 305 meV per atom
# E_form (uncorrected): -0.85 eV per atom
# Energy: -4.3919 eV/atom
data_LiZrCl2
_chemical_formula_sum 'Li1 Zr1 Cl2'
_space_group_name_H-M_alt 'P 4/m m m'
_space_group_IT_number 123
_space_group_name_Hall '-P 4 2'
_cell_length_a 3.328
_cell_length_b 3.328
_cell_length_c 6.439
_cell_angle_alpha 90.00
_cell_angle_beta 90.00
_cell_angle_gamma 90.00
loop_
_atom_site_label
_atom_site_type_symbol
_atom_site_fract_x
_atom_site_fract_y
_atom_site_fract_z
_atom_site_occupancy
Li1 Li 0.000 0.000 0.000 1
Zr1 Zr 0.000 0.000 0.500 1
Cl1 Cl 0.500 0.500 0.261 1